No. 1
Here is a relaxed structure of RuW from Alexandria. Energies are from PBE.

Summary:
* total magnetization: 0.00 μB/f.u.
* density of states at the Fermi level: 1.29 states/eV/f.u.
* ΔE_f: 0.091 eV/atom

a = 10.417 Å, b = 4.302 Å, c = 5.431 Å
α = 90.00°, β = 90.00°, γ = 90.00°
Element x y z (fractional)
Ru (0.809, 0.750, 0.635)
Ru (0.424, 0.250, 0.617)
Ru (0.191, 0.250, 0.365)
Ru (0.924, 0.250, 0.883)
Ru (0.076, 0.750, 0.117)
Ru (0.691, 0.250, 0.135)
Ru (0.576, 0.750, 0.383)
Ru (0.309, 0.750, 0.865)
W (0.680, 0.250, 0.647)
W (0.445, 0.250, 0.114)
W (0.820, 0.750, 0.147)
W (0.055, 0.750, 0.614)
W (0.555, 0.750, 0.886)
W (0.320, 0.750, 0.353)
W (0.945, 0.250, 0.386)
W (0.180, 0.250, 0.853)

No. 2
Here is a relaxed structure of RuW from Alexandria. Energies are from PBE.

Summary:
* total magnetization: 0.00 μB/f.u.
* density of states at the Fermi level: 0.93 states/eV/f.u.
* ΔE_f: 1.461 eV/atom

a = 3.983 Å, b = 3.983 Å, c = 3.983 Å
α = 60.00°, β = 60.00°, γ = 60.00°
Element x y z (fractional)
Ru (0.000, 0.000, 0.000)
W (0.750, 0.750, 0.750)

No. 3
Here is a relaxed structure of RuW from Alexandria. Energies are from PBE.

Summary:
* total magnetization: 0.00 μB/f.u.
* density of states at the Fermi level: 1.26 states/eV/f.u.
* ΔE_f: 0.054 eV/atom

a = 4.802 Å, b = 5.296 Å, c = 2.781 Å
α = 74.78°, β = 90.00°, γ = 117.10°
Element x y z (fractional)
W (0.590, 0.513, 0.743)
W (0.493, 0.987, 0.507)
Ru (0.079, 0.489, 0.255)
Ru (0.005, 0.011, 0.995)

No. 4
Here is a relaxed structure of RuW2 from Alexandria. Energies are from PBE.

Summary:
* relative energy among the computed polymorphs: 0.0 meV/atom
* total magnetization: 0.00 μB/f.u.
* density of states at the Fermi level: 2.58 states/eV/f.u.
* ΔE_f: 0.031 eV/atom

a = 9.659 Å, b = 9.659 Å, c = 4.988 Å
α = 90.00°, β = 90.00°, γ = 90.00°
Element x y z (fractional)
W (0.821, 0.179, 0.749)
W (0.179, 0.821, 0.749)
W (0.870, 0.462, 0.000)
W (0.321, 0.321, 0.249)
W (0.179, 0.821, 0.251)
W (0.604, 0.396, 0.000)
W (0.321, 0.321, 0.751)
W (0.896, 0.896, 0.500)
W (0.679, 0.679, 0.249)
W (0.104, 0.104, 0.500)
W (0.370, 0.038, 0.500)
W (0.538, 0.130, 0.000)
W (0.821, 0.179, 0.251)
W (0.630, 0.962, 0.500)
W (0.679, 0.679, 0.751)
W (0.038, 0.370, 0.500)
W (0.396, 0.604, 0.000)
W (0.130, 0.538, 0.000)
W (0.962, 0.630, 0.500)
W (0.462, 0.870, 0.000)
Ru (0.737, 0.930, 0.000)
Ru (0.237, 0.570, 0.500)
Ru (0.070, 0.263, 0.000)
Ru (0.000, 0.000, 0.000)
Ru (0.570, 0.237, 0.500)
Ru (0.500, 0.500, 0.500)
Ru (0.263, 0.070, 0.000)
Ru (0.930, 0.737, 0.000)
Ru (0.763, 0.430, 0.500)
Ru (0.430, 0.763, 0.500)

No. 5
Here is a relaxed structure of RuW2 from Alexandria. Energies are from PBE.

Summary:
* relative energy among the computed polymorphs: 170.2 meV/atom
* total magnetization: 0.00 μB/f.u.
* density of states at the Fermi level: 3.03 states/eV/f.u.
* ΔE_f: 0.201 eV/atom

a = 2.793 Å, b = 2.793 Å, c = 6.920 Å
α = 90.00°, β = 90.00°, γ = 120.00°
Element x y z (fractional)
Ru (0.000, 0.000, 0.000)
W (0.667, 0.333, 0.679)
W (0.333, 0.667, 0.321)

No. 6
Here is a relaxed structure of RuW from Alexandria. Energies are from PBE.

Summary:
* total magnetization: 0.00 μB/f.u.
* density of states at the Fermi level: 3.59 states/eV/f.u.
* ΔE_f: 1.823 eV/atom

a = 6.899 Å, b = 6.899 Å, c = 6.899 Å
α = 90.00°, β = 90.00°, γ = 90.00°
Element x y z (fractional)
Ru (0.000, 0.500, 0.750)
Ru (0.000, 0.500, 0.250)
Ru (0.750, 0.000, 0.500)
Ru (0.250, 0.000, 0.500)
Ru (0.500, 0.750, 0.000)
Ru (0.500, 0.250, 0.000)
W (0.000, 0.250, 0.500)
W (0.000, 0.750, 0.500)
W (0.750, 0.500, 0.000)
W (0.500, 0.000, 0.750)
W (0.500, 0.000, 0.250)
W (0.250, 0.500, 0.000)

No. 7
Here is a relaxed structure of Ru3W from Alexandria. Energies are from PBE.

Summary:
* total magnetization: 0.00 μB/f.u.
* density of states at the Fermi level: 3.33 states/eV/f.u.
* ΔE_f: -0.033 eV/atom

a = 5.169 Å, b = 5.169 Å, c = 5.169 Å
α = 148.97°, β = 124.99°, γ = 64.51°
Element x y z (fractional)
Ru (0.750, 0.751, 0.999)
Ru (0.249, 0.249, 0.999)
Ru (0.165, 0.500, 0.665)
W (0.670, 0.000, 0.670)

No. 8
Here is a relaxed structure of RuW2 from Alexandria. Energies are from PBE.

Summary:
* relative energy among the computed polymorphs: 243.1 meV/atom
* total magnetization: 0.00 μB/f.u.
* density of states at the Fermi level: 2.74 states/eV/f.u.
* ΔE_f: 0.274 eV/atom

a = 5.041 Å, b = 5.041 Å, c = 5.041 Å
α = 104.75°, β = 104.75°, γ = 119.38°
Element x y z (fractional)
W (0.151, 0.349, 0.500)
W (0.349, 0.849, 0.197)
W (0.651, 0.151, 0.803)
W (0.849, 0.651, 0.500)
Ru (0.750, 0.750, 0.000)
Ru (0.250, 0.250, 0.000)

No. 9
Here is a relaxed structure of Ru3W2 from Alexandria. Energies are from PBE.

Summary:
* relative energy among the computed polymorphs: 0.0 meV/atom
* total magnetization: 0.00 μB/f.u.
* density of states at the Fermi level: 2.58 states/eV/f.u.
* ΔE_f: 0.030 eV/atom

a = 5.278 Å, b = 5.278 Å, c = 7.014 Å
α = 80.83°, β = 80.83°, γ = 125.21°
Element x y z (fractional)
Ru (0.491, 0.879, 0.306)
Ru (0.547, 0.434, 0.194)
Ru (0.069, 0.069, 0.000)
Ru (0.819, 0.319, 0.500)
Ru (0.629, 0.741, 0.806)
Ru (0.184, 0.797, 0.694)
W (0.111, 0.542, 0.103)
W (0.964, 0.894, 0.397)
W (0.644, 0.214, 0.897)
W (0.292, 0.361, 0.603)

No. 10
Here is a relaxed structure of RuW from Alexandria. Energies are from PBE.

Summary:
* total magnetization: 0.00 μB/f.u.
* density of states at the Fermi level: 2.39 states/eV/f.u.
* ΔE_f: 0.468 eV/atom

a = 7.359 Å, b = 7.359 Å, c = 4.271 Å
α = 90.00°, β = 90.00°, γ = 120.00°
Element x y z (fractional)
Ru (0.885, 0.369, 0.750)
Ru (0.115, 0.631, 0.250)
Ru (0.369, 0.483, 0.250)
Ru (0.483, 0.115, 0.750)
Ru (0.517, 0.885, 0.250)
Ru (0.631, 0.517, 0.750)
W (0.057, 0.791, 0.750)
W (0.943, 0.209, 0.250)
W (0.266, 0.057, 0.250)
W (0.791, 0.734, 0.250)
W (0.734, 0.943, 0.750)
W (0.209, 0.266, 0.750)

No. 11
Here is a relaxed structure of Ru5W4 from Alexandria. Energies are from PBE.

Summary:
* relative energy among the computed polymorphs: 0.0 meV/atom
* total magnetization: 0.00 μB/f.u.
* density of states at the Fermi level: 6.64 states/eV/f.u.
* ΔE_f: 0.036 eV/atom

a = 3.864 Å, b = 6.212 Å, c = 6.212 Å
α = 95.55°, β = 108.12°, γ = 71.88°
Element x y z (fractional)
Ru (0.336, 0.329, 0.000)
Ru (0.664, 0.000, 0.329)
Ru (0.000, 0.000, 0.000)
Ru (0.336, 0.000, 0.671)
Ru (0.664, 0.671, 0.000)
W (0.319, 0.681, 0.319)
W (0.000, 0.319, 0.319)
W (0.000, 0.681, 0.681)
W (0.681, 0.319, 0.681)

No. 12
Here is a relaxed structure of RuW from Alexandria. Energies are from PBE.

Summary:
* total magnetization: 0.00 μB/f.u.
* density of states at the Fermi level: 1.52 states/eV/f.u.
* ΔE_f: 0.878 eV/atom

a = 5.201 Å, b = 5.201 Å, c = 4.921 Å
α = 90.00°, β = 90.00°, γ = 90.00°
Element x y z (fractional)
W (0.687, 0.687, 0.000)
W (0.187, 0.813, 0.500)
W (0.813, 0.187, 0.500)
W (0.313, 0.313, 0.000)
Ru (0.687, 0.687, 0.500)
Ru (0.187, 0.813, 0.000)
Ru (0.813, 0.187, 0.000)
Ru (0.313, 0.313, 0.500)

No. 13
Here is a relaxed structure of Ru3W5 from Alexandria. Energies are from PBE.

Summary:
* relative energy among the computed polymorphs: 107.5 meV/atom
* total magnetization: 0.00 μB/f.u.
* density of states at the Fermi level: 7.08 states/eV/f.u.
* ΔE_f: 0.196 eV/atom

a = 5.042 Å, b = 7.591 Å, c = 7.162 Å
α = 92.59°, β = 107.69°, γ = 73.98°
Element x y z (fractional)
Ru (0.137, 0.138, 0.535)
Ru (0.654, 0.478, 0.858)
Ru (0.347, 0.522, 0.143)
Ru (0.766, 0.005, 0.045)
Ru (0.235, 0.995, 0.956)
Ru (0.864, 0.862, 0.465)
W (0.285, 0.851, 0.295)
W (0.480, 0.819, 0.697)
W (0.771, 0.689, 0.146)
W (0.942, 0.289, 0.178)
W (0.058, 0.711, 0.823)
W (0.752, 0.503, 0.502)
W (0.716, 0.149, 0.706)
W (0.230, 0.311, 0.855)
W (0.521, 0.181, 0.303)
W (0.249, 0.497, 0.498)

No. 14
Here is a relaxed structure of RuW2 from Alexandria. Energies are from PBE.

Summary:
* relative energy among the computed polymorphs: 192.9 meV/atom
* total magnetization: 0.00 μB/f.u.
* density of states at the Fermi level: 2.73 states/eV/f.u.
* ΔE_f: 0.224 eV/atom

a = 7.653 Å, b = 7.653 Å, c = 4.596 Å
α = 90.00°, β = 90.00°, γ = 159.68°
Element x y z (fractional)
W (0.625, 0.375, 0.250)
W (0.375, 0.625, 0.750)
W (0.053, 0.947, 0.750)
W (0.947, 0.053, 0.250)
Ru (0.280, 0.720, 0.250)
Ru (0.720, 0.280, 0.750)

No. 15
Here is a relaxed structure of RuW from Alexandria. Energies are from PBE.

Summary:
* total magnetization: 0.00 μB/f.u.
* density of states at the Fermi level: 1.99 states/eV/f.u.
* ΔE_f: 0.495 eV/atom

a = 7.607 Å, b = 7.607 Å, c = 4.515 Å
α = 90.00°, β = 90.00°, γ = 90.00°
Element x y z (fractional)
Ru (0.098, 0.239, 0.500)
Ru (0.902, 0.761, 0.500)
Ru (0.746, 0.937, 0.000)
Ru (0.254, 0.063, 0.000)
Ru (0.761, 0.098, 0.500)
Ru (0.239, 0.902, 0.500)
Ru (0.063, 0.746, 0.000)
Ru (0.937, 0.254, 0.000)
W (0.401, 0.725, 0.000)
W (0.808, 0.433, 0.500)
W (0.275, 0.401, 0.000)
W (0.599, 0.275, 0.000)
W (0.567, 0.808, 0.500)
W (0.725, 0.599, 0.000)
W (0.192, 0.567, 0.500)
W (0.433, 0.192, 0.500)

No. 16
Here is a relaxed structure of Ru3W from Alexandria. Energies are from PBE.

Summary:
* total magnetization: 0.00 μB/f.u.
* density of states at the Fermi level: 4.12 states/eV/f.u.
* ΔE_f: 0.063 eV/atom

a = 2.752 Å, b = 3.820 Å, c = 5.519 Å
α = 90.00°, β = 90.00°, γ = 90.00°
Element x y z (fractional)
Ru (0.500, 0.500, 0.750)
Ru (0.000, 0.000, 0.993)
Ru (0.000, 0.000, 0.507)
W (0.500, 0.500, 0.250)

No. 17
Here is a relaxed structure of Ru3W from Alexandria. Energies are from PBE.

Summary:
* total magnetization: 0.00 μB/f.u.
* density of states at the Fermi level: 4.74 states/eV/f.u.
* ΔE_f: -0.049 eV/atom

a = 5.519 Å, b = 4.369 Å, c = 4.783 Å
α = 90.00°, β = 90.00°, γ = 90.00°
Element x y z (fractional)
W (0.500, 0.500, 0.336)
W (0.000, 0.000, 0.664)
Ru (0.750, 0.500, 0.834)
Ru (0.000, 0.500, 0.332)
Ru (0.250, 0.000, 0.166)
Ru (0.500, 0.000, 0.668)
Ru (0.250, 0.500, 0.834)
Ru (0.750, 0.000, 0.166)

No. 18
Here is a relaxed structure of Ru5W4 from Alexandria. Energies are from PBE.

Summary:
* relative energy among the computed polymorphs: 73.8 meV/atom
* total magnetization: 0.00 μB/f.u.
* density of states at the Fermi level: 8.10 states/eV/f.u.
* ΔE_f: 0.110 eV/atom

a = 7.600 Å, b = 7.600 Å, c = 5.428 Å
α = 90.00°, β = 90.00°, γ = 60.00°
Element x y z (fractional)
W (0.669, 0.000, 0.750)
W (0.331, 0.669, 0.750)
W (0.000, 0.000, 0.000)
W (0.000, 0.000, 0.500)
W (0.000, 0.669, 0.250)
W (0.331, 0.000, 0.250)
W (0.000, 0.331, 0.750)
W (0.669, 0.331, 0.250)
Ru (0.667, 0.667, 0.000)
Ru (0.339, 0.661, 0.250)
Ru (0.661, 0.339, 0.750)
Ru (0.000, 0.339, 0.250)
Ru (0.333, 0.333, 0.000)
Ru (0.667, 0.667, 0.500)
Ru (0.000, 0.661, 0.750)
Ru (0.339, 0.000, 0.750)
Ru (0.333, 0.333, 0.500)
Ru (0.661, 0.000, 0.250)

No. 19
Here is a relaxed structure of RuW from Alexandria. Energies are from PBE.

Summary:
* total magnetization: 0.00 μB/f.u.
* density of states at the Fermi level: 1.81 states/eV/f.u.
* ΔE_f: 0.133 eV/atom

a = 2.786 Å, b = 2.786 Å, c = 9.025 Å
α = 90.00°, β = 90.00°, γ = 120.00°
Element x y z (fractional)
Ru (0.333, 0.667, 0.248)
Ru (0.000, 0.000, 0.002)
W (0.000, 0.000, 0.488)
W (0.333, 0.667, 0.762)

No. 20
Here is a relaxed structure of RuW2 from Alexandria. Energies are from PBE.

Summary:
* relative energy among the computed polymorphs: 405.3 meV/atom
* total magnetization: 0.00 μB/f.u.
* density of states at the Fermi level: 1.76 states/eV/f.u.
* ΔE_f: 0.436 eV/atom

a = 5.170 Å, b = 5.170 Å, c = 5.170 Å
α = 60.00°, β = 60.00°, γ = 60.00°
Element x y z (fractional)
Ru (0.500, 0.500, 0.500)
Ru (0.750, 0.750, 0.750)
W (0.125, 0.125, 0.125)
W (0.125, 0.125, 0.625)
W (0.625, 0.125, 0.125)
W (0.125, 0.625, 0.125)

No. 21
Here is a relaxed structure of RuW2 from Alexandria. Energies are from PBE.

Summary:
* relative energy among the computed polymorphs: 1141.2 meV/atom
* total magnetization: 0.00 μB/f.u.
* density of states at the Fermi level: 1.23 states/eV/f.u.
* ΔE_f: 1.172 eV/atom

a = 6.030 Å, b = 6.030 Å, c = 6.030 Å
α = 90.00°, β = 90.00°, γ = 90.00°
Element x y z (fractional)
W (0.625, 0.875, 0.125)
W (0.125, 0.625, 0.875)
W (0.375, 0.125, 0.875)
W (0.375, 0.375, 0.375)
W (0.875, 0.375, 0.125)
W (0.125, 0.875, 0.375)
W (0.875, 0.125, 0.625)
W (0.625, 0.625, 0.625)
Ru (0.500, 0.000, 0.500)
Ru (0.000, 0.500, 0.500)
Ru (0.500, 0.500, 0.000)
Ru (0.000, 0.000, 0.000)

No. 22
Here is a relaxed structure of Ru7W6 from Alexandria. Energies are from PBE.

Summary:
* total magnetization: 0.00 μB/f.u.
* density of states at the Fermi level: 17.90 states/eV/f.u.
* ΔE_f: 0.172 eV/atom

a = 9.365 Å, b = 9.365 Å, c = 9.365 Å
α = 31.40°, β = 31.40°, γ = 31.40°
Element x y z (fractional)
Ru (0.500, 0.500, 0.500)
Ru (0.592, 0.082, 0.592)
Ru (0.408, 0.408, 0.918)
Ru (0.592, 0.592, 0.082)
Ru (0.408, 0.918, 0.408)
Ru (0.918, 0.408, 0.408)
Ru (0.082, 0.592, 0.592)
W (0.047, 0.047, 0.047)
W (0.664, 0.664, 0.664)
W (0.336, 0.336, 0.336)
W (0.849, 0.849, 0.849)
W (0.953, 0.953, 0.953)
W (0.151, 0.151, 0.151)

No. 23
Here is a relaxed structure of Ru3W from Alexandria. Energies are from PBE.

Summary:
* total magnetization: 0.00 μB/f.u.
* density of states at the Fermi level: 6.52 states/eV/f.u.
* ΔE_f: 0.390 eV/atom

a = 2.694 Å, b = 5.106 Å, c = 5.106 Å
α = 63.02°, β = 79.87°, γ = 100.13°
Element x y z (fractional)
W (0.000, 0.500, 0.500)
Ru (0.500, 0.000, 0.500)
Ru (0.000, 0.000, 0.000)
Ru (0.500, 0.500, 0.000)